This record from Alexandria via LeMat-Bulk describes a crystal of BeHg2W relaxed with PBEsol. The functional is SCAN.

abc: 5.4900 5.4900 5.4900
angles: 149.64 129.55 60.02
Closest atoms and distances in Å follow each position.
Atoms (fractional coordinates):
1 Be 0.0000 0.0000 0.0000  4 Hg 2.46, 4 W 2.75
2 Hg 0.2104 0.7104 0.5000  2 Be 2.46
3 Hg 0.7896 0.2896 0.5000  2 Be 2.46
4 W 0.5000 0.5000 0.0000  4 Be 2.75, 2 W 2.88

Values from the calculation:
DFT formation energy = 0.80 eV per atom
space group = Immm, No. 71
Fermi-level density of states = 1.912 states/eV per cell

This record from Alexandria via LeMat-Bulk describes a crystal of BeHg2W relaxed with PBEsol. The functional is SCAN.

abc: 5.0026 2.8538 5.0169
angles: 90.00 110.98 90.00
Closest atoms and distances in Å follow each position.
Atoms (fractional coordinates):
1 Be 0.0000 0.0000 0.0000  6 Hg 2.84-2.89, 2 Be 2.85, 4 W 2.88
2 Hg 0.0000 0.5000 0.5000  2 W 2.84, 6 Hg 2.85-2.88, 4 Be 2.89
3 Hg 0.5000 0.0000 0.5000  2 Be 2.84, 6 Hg 2.85-2.88, 4 W 2.89
4 W 0.5000 0.5000 0.0000  6 Hg 2.84-2.89, 2 W 2.85, 4 Be 2.88

Values from the calculation:
DFT formation energy = 0.75 eV per atom
space group = P2/m, No. 10
Fermi-level density of states = 1.102 states/eV per cell

This record from Alexandria via LeMat-Bulk describes a crystal of Y2BeHg relaxed with PBEsol. The functional is SCAN.

abc: 4.4650 4.4650 6.8243
angles: 101.98 101.98 47.90
Closest atoms and distances in Å follow each position.
Atoms (fractional coordinates):
1 Y 0.2417 0.2417 0.2186  3 Be 2.84-2.85, 3 Hg 3.05-3.09
2 Y 0.7583 0.7583 0.7814  3 Be 2.84-2.85, 3 Hg 3.05-3.09
3 Be 0.5000 0.5000 0.0000  6 Y 2.84-2.85
4 Hg 0.0000 0.0000 0.5000  6 Y 3.05-3.09

Values from the calculation:
energy above the lowest structure with this stoichiometry = 0.0 meV per atom
DFT formation energy = -0.11 eV per atom
space group = C2/m, No. 12
Fermi-level density of states = 3.234 states/eV per cell

This record from Alexandria via LeMat-Bulk describes a crystal of Y2BeHg relaxed with PBEsol. The functional is SCAN.

abc: 4.7582 3.6645 6.0078
angles: 90.00 108.98 90.00
Closest atoms and distances in Å follow each position.
Atoms (fractional coordinates):
1 Y 0.0000 0.0000 0.0000  4 Hg 3.00, 2 Be 3.00
2 Y 0.5000 0.5000 0.5000  4 Be 3.00, 2 Hg 3.00
3 Be 0.0000 0.0000 0.5000  6 Y 3.00
4 Hg 0.5000 0.5000 0.0000  6 Y 3.00

Values from the calculation:
energy above the lowest structure with this stoichiometry = 36.8 meV per atom
DFT formation energy = -0.07 eV per atom
space group = P2/m, No. 10
Fermi-level density of states = 3.413 states/eV per cell

This record from Alexandria via LeMat-Bulk describes a crystal of Y3BeHg relaxed with PBEsol. The functional is SCAN.

abc: 5.1134 5.1134 5.1134
angles: 90.00 90.00 90.00
Closest atoms and distances in Å follow each position.
Atoms (fractional coordinates):
1 Y 0.0000 0.0000 0.5000  2 Be 2.56
2 Y 0.0000 0.5000 0.0000  2 Be 2.56
3 Y 0.5000 0.0000 0.0000  2 Be 2.56
4 Be 0.0000 0.0000 0.0000  6 Y 2.56
5 Hg 0.5000 0.5000 0.5000  12 Y 3.62

Values from the calculation:
DFT formation energy = 0.09 eV per atom
space group = Pm-3m, No. 221
Fermi-level density of states = 6.902 states/eV per cell

This record from Alexandria via LeMat-Bulk describes a crystal of Be2ZnHg relaxed with PBEsol. The functional is SCAN.

abc: 8.2955 8.2955 8.2955
angles: 19.54 19.54 19.54
Closest atoms and distances in Å follow each position.
Atoms (fractional coordinates):
1 Be 0.0000 0.0000 0.0000  3 Be 2.29, 3 Zn 2.46
2 Be 0.2669 0.2669 0.2669  3 Be 2.29
3 Zn 0.7422 0.7422 0.7422  3 Be 2.46
4 Hg 0.5121 0.5121 0.5121  3 Be 2.70, 6 Hg 2.82, 3 Zn 3.00

Values from the calculation:
energy above the lowest structure with this stoichiometry = 131.8 meV per atom
DFT formation energy = 0.45 eV per atom
space group = R3m, No. 160
Fermi-level density of states = 1.102 states/eV per cell

This record from Alexandria via LeMat-Bulk describes a crystal of Be2ZnHg relaxed with PBEsol. The functional is SCAN.

abc: 8.0327 8.0327 8.0327
angles: 20.41 20.41 20.41
Closest atoms and distances in Å follow each position.
Atoms (fractional coordinates):
1 Be 0.2446 0.2446 0.2446  3 Zn 2.47, 3 Hg 2.66
2 Be 0.7554 0.7554 0.7554  3 Zn 2.47, 3 Hg 2.66
3 Zn 0.5000 0.5000 0.5000  6 Be 2.47
4 Hg 0.0000 0.0000 0.0000  6 Be 2.66, 6 Hg 2.85

Values from the calculation:
energy above the lowest structure with this stoichiometry = 112.3 meV per atom
DFT formation energy = 0.43 eV per atom
space group = R-3m, No. 166
Fermi-level density of states = 1.122 states/eV per cell

This record from Alexandria via LeMat-Bulk describes a crystal of BeZnHg2 relaxed with PBEsol. The functional is SCAN.

abc: 5.4727 5.4727 5.4727
angles: 150.57 113.91 73.96
Closest atoms and distances in Å follow each position.
Atoms (fractional coordinates):
1 Be 0.0000 0.0000 0.0000  4 Hg 2.45
2 Zn 0.5000 0.5000 0.0000  4 Hg 2.73, 2 Zn 2.78
3 Hg 0.2307 0.7307 0.5000  2 Be 2.45, 2 Zn 2.73
4 Hg 0.7693 0.2693 0.5000  2 Be 2.45, 2 Zn 2.73

Values from the calculation:
energy above the lowest structure with this stoichiometry = 0.0 meV per atom
DFT formation energy = 0.28 eV per atom
space group = Immm, No. 71
Fermi-level density of states = 1.014 states/eV per cell

This record from Alexandria via LeMat-Bulk describes a crystal of Be2ZnHg relaxed with PBEsol. The functional is SCAN.

abc: 4.6280 4.6280 4.6280
angles: 132.92 132.92 68.79
Closest atoms and distances in Å follow each position.
Atoms (fractional coordinates):
1 Be 0.0000 0.0000 0.0000  4 Hg 2.61, 4 Be 2.66, 4 Zn 2.66
2 Be 0.7500 0.2500 0.5000  4 Zn 2.61, 4 Hg 2.66, 4 Be 2.66
3 Zn 0.2500 0.7500 0.5000  8 Be 2.61-2.66, 4 Hg 2.66
4 Hg 0.5000 0.5000 0.0000  8 Be 2.61-2.66, 4 Zn 2.66

Values from the calculation:
energy above the lowest structure with this stoichiometry = 0.0 meV per atom
DFT formation energy = 0.31 eV per atom
space group = I-4m2, No. 119
Fermi-level density of states = 0.835 states/eV per cell

This record from Alexandria via LeMat-Bulk describes a crystal of BeZnHg2 relaxed with PBEsol. The functional is SCAN.

abc: 4.5777 4.5777 3.3066
angles: 90.00 90.00 103.92
Closest atoms and distances in Å follow each position.
Atoms (fractional coordinates):
1 Be 0.0000 0.0000 0.0000  2 Zn 2.82, 8 Hg 2.82
2 Zn 0.5000 0.5000 0.0000  2 Be 2.82, 8 Hg 2.82
3 Hg 0.0000 0.5000 0.5000  2 Hg 2.82, 4 Be 2.82, 4 Zn 2.82
4 Hg 0.5000 0.0000 0.5000  2 Hg 2.82, 4 Be 2.82, 4 Zn 2.82

Values from the calculation:
energy above the lowest structure with this stoichiometry = 90.3 meV per atom
DFT formation energy = 0.37 eV per atom
space group = Cmmm, No. 65
Fermi-level density of states = 0.980 states/eV per cell

This record from Alexandria via LeMat-Bulk describes a crystal of ZrBe2Hg relaxed with PBEsol. The functional is SCAN.

abc: 4.1919 4.1919 3.4279
angles: 90.00 90.00 90.00
Closest atoms and distances in Å follow each position.
Atoms (fractional coordinates):
1 Zr 0.0000 0.0000 0.0000  8 Be 2.71, 4 Hg 2.96
2 Be 0.0000 0.5000 0.5000  4 Hg 2.71, 4 Zr 2.71, 4 Be 2.96
3 Be 0.5000 0.0000 0.5000  4 Hg 2.71, 4 Zr 2.71, 4 Be 2.96
4 Hg 0.5000 0.5000 0.0000  8 Be 2.71, 4 Zr 2.96

Values from the calculation:
DFT formation energy = -0.02 eV per atom
space group = P4/mmm, No. 123
Fermi-level density of states = 1.722 states/eV per cell

This record from Alexandria via LeMat-Bulk describes a crystal of Zr2Be2Hg relaxed with PBEsol. The functional is SCAN.

abc: 6.3216 6.3216 3.9647
angles: 90.00 90.00 90.00
Closest atoms and distances in Å follow each position.
Atoms (fractional coordinates):
1 Zr 0.1710 0.3290 0.0000  6 Be 2.71-2.73
2 Zr 0.3290 0.8290 0.0000  6 Be 2.71-2.73
3 Zr 0.6710 0.1710 0.0000  6 Be 2.71-2.73
4 Zr 0.8290 0.6710 0.0000  6 Be 2.71-2.73
5 Be 0.1227 0.6227 0.5000  1 Be 2.19
6 Be 0.3773 0.1227 0.5000  1 Be 2.19
7 Be 0.6227 0.8773 0.5000  1 Be 2.19
8 Be 0.8773 0.3773 0.5000  1 Be 2.19
9 Hg 0.0000 0.0000 0.5000  4 Be 2.51
10 Hg 0.5000 0.5000 0.5000  4 Be 2.51

Values from the calculation:
DFT formation energy = -0.40 eV per atom
space group = P4/mbm, No. 127
Fermi-level density of states = 2.643 states/eV per cell